Here is ScCo3Au after structural relaxation from the Alexandria database. Energies are from GGA-PBE.

The final energy comes out at -24.77 eV for the cell shown. For the energy above the most stable polymorph in this dataset, the calculation gives 148 meV per atom. Its crystal system is cubic. As for the energy relative to the elements: 1.231 eV per atom.

The structure belongs to space group Pm-3m (No. 221); the cell edges are 4.355, 4.355 and 4.355 Å and the angles 90.00°, 90.00° and 90.00°. The inequivalent atoms are Sc at (0.000, 0.000, 0.000), Co at (0.000, 0.000, 0.500) and Au at (0.500, 0.500, 0.500).

Here is Ca4MgP after structural relaxation from the Alexandria database. Energies are from GGA-PBE.

The final energy comes out at -50.24 eV for the cell shown. Its crystal system is cubic. As for the energy relative to the elements: 0.408 eV per atom.

The structure belongs to space group F-43m (No. 216); the cell edges are 9.311, 9.311 and 9.311 Å and the angles 90.00°, 90.00° and 90.00°. The inequivalent atoms are Ca at (0.124, 0.124, 0.376), Mg at (0.000, 0.000, 0.000) and P at (0.250, 0.250, 0.750).

Here is MgInSb2 after structural relaxation from the Alexandria database. Energies are from GGA-PBE.

The final energy comes out at -12.40 eV for the cell shown. For the energy above the most stable polymorph in this dataset, the calculation gives 130 meV per atom. Its crystal system is tetragonal.

The structure belongs to space group P4mm (No. 99); the cell edges are 3.243, 3.243 and 9.938 Å and the angles 90.00°, 90.00° and 90.00°. The inequivalent atoms are Mg at (0.000, 0.000, 0.000), In at (0.500, 0.500, 0.772), Sb at (0.000, 0.000, 0.523) and Sb at (0.500, 0.500, 0.215).

Here is CsAgBiS3 after structural relaxation from the Alexandria database. Energies are from GGA-PBE.

The final energy comes out at -44.49 eV for the cell shown. Its crystal system is hexagonal.

The structure belongs to space group P6_3/mmc (No. 194); the cell edges are 7.7871, 7.7871 and 7.4355 Å and the angles 90.00°, 90.00° and 120.00°. The inequivalent atoms are Cs at (0.3333, 0.6667, 0.2500), Ag at (0.3333, 0.6667, 0.7500), Bi at (0.0000, 0.0000, 0.0000) and S at (0.1550, 0.3100, 0.7500).

Here is ZrTaAg after structural relaxation from the Alexandria database. Energies are from GGA-PBE.

The final energy comes out at -45.15 eV for the cell shown. For the energy above the most stable polymorph in this dataset, the calculation gives 271 meV per atom. Its crystal system is orthorhombic. As for the energy relative to the elements: 0.226 eV per atom.

The structure belongs to space group Imm2 (No. 44); the cell edges are 3.097, 3.718 and 10.313 Å and the angles 90.00°, 90.00° and 90.00°. The inequivalent atoms are Zr at (0.000, 0.000, 0.000), Ta at (0.000, 0.000, 0.332) and Ag at (0.000, 0.000, 0.675).

Here is KTe2P2 after structural relaxation from the Alexandria database. Energies are from GGA-PBE.

The final energy comes out at -32.85 eV for the cell shown. For the energy above the most stable polymorph in this dataset, the calculation gives 356 meV per atom. Its crystal system is tetragonal.

The structure belongs to space group I4/mmm (No. 139); the cell edges are 4.293, 4.293 and 14.702 Å and the angles 90.00°, 90.00° and 90.00°. The inequivalent atoms are K at (0.000, 0.000, 0.000), Te at (0.000, 0.000, 0.397) and P at (0.000, 0.500, 0.250).

Here is Fe3GeSe after structural relaxation from the Alexandria database. Energies are from GGA-PBE.

The final energy comes out at -30.00 eV for the cell shown. For the energy above the most stable polymorph in this dataset, the calculation gives 0 meV per atom. Its crystal system is cubic.

The structure belongs to space group Pm-3m (No. 221); the cell edges are 4.391, 4.391 and 4.391 Å and the angles 90.00°, 90.00° and 90.00°. The inequivalent atoms are Fe at (0.000, 0.000, 0.500), Ge at (0.500, 0.500, 0.500) and Se at (0.000, 0.000, 0.000).

Number 1: total magnetic moment 2.97 μB per formula unit. Number 2: total magnetic moment 0.09 μB per formula unit. Number 3: total magnetic moment 0.00 μB per formula unit. Number 4: total magnetic moment 0.00 μB per formula unit. Number 5: total magnetic moment 0.00 μB per formula unit. Number 6: total magnetic moment 0.00 μB per formula unit. Number 7: total magnetic moment 6.26 μB per formula unit.